This record from the Alexandria database describes Nd2Sm9Tl after structural relaxation. The functional is GGA-PBE.

Computed properties:
Energy relative to the elements: -0.04 eV/atom
Total magnetic moment: 0.00 μB/f.u.
Calculated density: 7.8 g/cm3
VASP energy: -4.573 eV per atom

Lattice parameters (Å, degrees): 5.0440 5.0440 15.4906 90.00 90.00 90.00
Last column: nearest neighbours and their distance in Å.
Space group P4/mmm (No. 123)
One atom of each set of equivalent atoms:
Nd: 0.0000 0.0000 0.1693 x2  12 Sm 3.57-3.65
Sm: 0.0000 0.5000 0.0000 x2  8 Sm 3.57-3.66, 4 Nd 3.64
Sm: 0.0000 0.5000 0.3394 x4  2 Tl 3.54, 8 Sm 3.54-3.62, 2 Nd 3.65
Sm: 0.5000 0.5000 0.1714 x2  4 Nd 3.57, 8 Sm 3.62-3.66
Sm: 0.5000 0.5000 0.5000 x1  8 Sm 3.54, 4 Tl 3.57
Tl: 0.0000 0.0000 0.5000 x1  12 Sm 3.54-3.57